(1)
A plane-wave DFT calculation with PBE was carried out for crystalline NpAl2HgO8 at its relaxed geometry.

Unit cell a=4.7721 b=4.7721 c=6.2452 alpha=92.97 beta=92.97 gamma=88.06
Closest atoms and distances in Å follow each position.
Atoms (fractional coordinates):
1 Np 0.0000 0.0000 0.0000  6 O 1.92-2.15
2 Al 0.4898 0.4898 0.7434  6 O 1.90-2.03
3 Al 0.5102 0.5102 0.2566  6 O 1.90-2.03
4 Hg 0.0000 0.0000 0.5000  4 O 2.12-2.19
5 O 0.2132 0.2132 0.7642  1 Al 1.91, 1 Hg 2.12
6 O 0.2252 0.2252 0.2020  1 Np 1.92, 1 Al 1.96
7 O 0.3120 0.6880 0.0000  2 Al 2.03, 1 Np 2.07
8 O 0.3299 0.6701 0.5000  2 Al 1.90
9 O 0.6701 0.3299 0.5000  2 Al 1.90
10 O 0.6880 0.3120 0.0000  2 Al 2.03, 1 Np 2.07
11 O 0.7748 0.7748 0.7980  1 Np 1.92, 1 Al 1.96
12 O 0.7868 0.7868 0.2358  1 Al 1.91, 1 Hg 2.12

Summary:
formation energy (no corrections) = -2.02 eV per atom
crystal system = monoclinic
density = 7.26 Mg/m³
energy = -84.7 eV per cell


(2)
A plane-wave DFT calculation with PBE was carried out for crystalline NpAlHgO6 at its relaxed geometry.

Unit cell a=5.2795 b=5.2795 c=4.9747 alpha=90.00 beta=90.00 gamma=120.00
Closest atoms and distances in Å follow each position.
Atoms (fractional coordinates):
1 Np 0.0000 0.0000 0.0000  6 O 2.03
2 Al 0.6667 0.3333 0.0000  6 O 1.93
3 Hg 0.3333 0.6667 0.5000  6 O 2.41
4 O 0.3477 0.0404 0.2114  1 Al 1.93, 1 Np 2.03
5 O 0.3477 0.3073 0.7886  1 Al 1.93, 1 Np 2.03
6 O 0.6927 0.0404 0.7886  1 Al 1.93, 1 Np 2.03
7 O 0.6927 0.6523 0.2114  1 Al 1.93, 1 Np 2.03
8 O 0.9596 0.3073 0.2114  1 Al 1.93, 1 Np 2.03
9 O 0.9596 0.6523 0.7886  1 Al 1.93, 1 Np 2.03

Summary:
formation energy (no corrections) = -2.04 eV per atom
crystal system = trigonal
density = 7.75 Mg/m³
energy = -65.1 eV per cell


(3)
A plane-wave DFT calculation with PBE was carried out for crystalline Al3HgO at its relaxed geometry.

Unit cell a=4.3076 b=4.3076 c=4.3076 alpha=90.00 beta=90.00 gamma=90.00
Closest atoms and distances in Å follow each position.
Atoms (fractional coordinates):
1 Al 0.0000 0.0000 0.5000  2 O 2.15
2 Al 0.0000 0.5000 0.0000  2 O 2.15
3 Al 0.5000 0.0000 0.0000  2 O 2.15
4 Hg 0.5000 0.5000 0.5000  12 Al 3.05
5 O 0.0000 0.0000 0.0000  6 Al 2.15

Summary:
formation energy (no corrections) = -0.27 eV per atom
crystal system = cubic
density = 6.18 Mg/m³
energy = -17.8 eV per cell


(4)
A plane-wave DFT calculation with PBE was carried out for crystalline AlHgO3 at its relaxed geometry.

Unit cell a=3.7475 b=3.7475 c=3.7475 alpha=90.00 beta=90.00 gamma=90.00
Closest atoms and distances in Å follow each position.
Atoms (fractional coordinates):
1 Al 0.0000 0.0000 0.0000  6 O 1.87
2 Hg 0.5000 0.5000 0.5000  12 O 2.65
3 O 0.0000 0.0000 0.5000  2 Al 1.87
4 O 0.0000 0.5000 0.0000  2 Al 1.87
5 O 0.5000 0.0000 0.0000  2 Al 1.87

Summary:
formation energy (no corrections) = -1.25 eV per atom
crystal system = cubic
density = 8.69 Mg/m³
energy = -25.2 eV per cell